Entry 1:
## AcInS (GGA-PBE)

Data for a geometry-optimized AcInS structure.

Lattice parameters (Å, degrees): 4.238 4.234 12.962 90.00 90.00 120.03
Positions (direct):
In1 0.610 0.221 0.000
In2 0.281 0.562 0.500
S1 0.611 0.221 0.329
S2 0.611 0.221 0.671
Ac1 0.277 0.554 0.801
Ac2 0.277 0.554 0.199

Results
* SG: Amm2 (38)
* ΔE_f (raw): -0.89 eV per atom
* calculated total energy: -13.63 eV per formula unit

---

Entry 2:
## La4Pr4Y3 (GGA-PBE)

Data for a geometry-optimized La4Pr4Y3 structure.

Lattice parameters (Å, degrees): 3.616 5.852 18.659 80.98 84.45 90.00
Positions (direct):
La1 0.593 0.093 0.815
La2 0.270 0.270 0.459
La3 0.730 0.730 0.541
La4 0.407 0.907 0.185
Pr1 0.545 0.546 0.910
Pr2 0.455 0.454 0.090
Pr3 0.317 0.817 0.365
Pr4 0.683 0.183 0.635
Y1 0.137 0.637 0.728
Y2 0.863 0.363 0.272
Y3 0.000 0.000 0.000

Results
* SG: P-1 (2)
* calculated total energy: -57.74 eV per formula unit
* DFT formation energy: 0.48 eV per formula unit
* excess energy over the best structure of this formula in the dataset: 27 meV/atom

---

Entry 3:
## LiCaN2O (GGA-PBE)

Data for a geometry-optimized LiCaN2O structure.

Lattice parameters (Å, degrees): 3.638 3.638 4.179 90.00 90.00 90.00
Positions (direct):
Ca1 0.500 0.500 0.500
Li1 0.000 0.000 0.000
O1 0.000 0.000 0.500
N1 0.000 0.500 0.000
N2 0.500 0.000 0.000

Results
* SG: P4/mmm (123)
* ΔE_f (raw): 0.37 eV per atom
* calculated total energy: -23.70 eV per formula unit

---

Entry 4:
## Tl2HgBiAu (GGA-PBE)

Data for a geometry-optimized Tl2HgBiAu structure.

Lattice parameters (Å, degrees): 5.146 5.146 6.381 90.00 90.00 90.00
Positions (direct):
Tl1 0.000 0.500 0.895
Tl2 0.500 0.000 0.895
Hg1 0.500 0.500 0.566
Bi1 0.000 0.000 0.536
Au1 0.000 0.000 0.109

Results
* SG: P4mm (99)
* calculated total energy: -11.58 eV per formula unit
* DFT formation energy: 0.61 eV per formula unit

---

Entry 5:
## Ta2InAg (GGA-PBE)

Data for a geometry-optimized Ta2InAg structure.

Lattice parameters (Å, degrees): 3.665 3.665 5.636 90.00 90.00 90.00
Positions (direct):
In1 0.500 0.500 0.750
Ag1 0.500 0.500 0.250
Ta1 0.000 0.000 0.999
Ta2 0.000 0.000 0.501

Results
* SG: P4/mmm (123)
* calculated total energy: -27.37 eV per formula unit
* DFT formation energy: 1.92 eV per formula unit

---

Entry 6:
## Na2LaCuTe (GGA-PBE)

Data for a geometry-optimized Na2LaCuTe structure.

Lattice parameters (Å, degrees): 5.092 5.708 5.092 90.00 90.00 90.00
Positions (direct):
Na1 0.000 0.000 0.500
Na2 0.500 0.000 0.000
Te1 0.500 0.500 0.500
Cu1 0.000 0.000 0.000
La1 0.000 0.500 0.000

Results
* SG: P4/mmm (123)
* ΔE_f (raw): -0.21 eV per atom
* calculated total energy: -15.84 eV per formula unit

---

Entry 7:
## CaInAu2 (GGA-PBE)

Data for a geometry-optimized CaInAu2 structure.

Lattice parameters (Å, degrees): 4.973 4.973 4.973 60.00 60.00 60.00
Positions (direct):
Ca1 0.500 0.500 0.500
Au1 0.000 0.000 0.000
Au2 0.250 0.250 0.250
In1 0.750 0.750 0.750

Results
* SG: F-43m (216)
* calculated total energy: -13.05 eV per formula unit
* DFT formation energy: -1.75 eV per formula unit

---

Entry 8:
## HfBRh6 (GGA-PBE)

Data for a geometry-optimized HfBRh6 structure.

Lattice parameters (Å, degrees): 5.044 5.044 5.045 78.36 78.36 101.63
Positions (direct):
Hf1 0.500 0.500 0.500
B1 0.000 0.000 0.000
Rh1 0.109 0.712 0.288
Rh2 0.712 0.109 0.288
Rh3 0.288 0.891 0.712
Rh4 0.891 0.288 0.712
Rh5 0.288 0.288 0.109
Rh6 0.712 0.712 0.891

Results
* SG: R-3m (166)
* calculated total energy: -62.19 eV per formula unit
* DFT formation energy: -1.45 eV per formula unit

---

Sequential total magnetization output: 0.00; 0.00; 2.52; 0.00; 0.00; 0.00; 0.00; 0.00 μB per cell